(1)
A relaxed structure of Ac6RuRh3. Source: Alexandria, functional PBE.

Structure (POSCAR):
```
Ac6RuRh3
1.0
-2.9548 -0.5436 3.1006
-3.4340 -10.8803 -5.1800
9.1454 -1.6342 8.4288
Ac Ru Rh
12 2 6
direct
0.7500 0.4523 0.6071 Ac
0.2500 0.5477 0.3929 Ac
0.7500 0.9295 0.1019 Ac
0.2500 0.0705 0.8981 Ac
0.7500 0.3938 0.0605 Ac
0.2500 0.6062 0.9395 Ac
0.7500 0.7459 0.2684 Ac
0.2500 0.2541 0.7316 Ac
0.7500 0.0984 0.4478 Ac
0.2500 0.9016 0.5522 Ac
0.7500 0.7897 0.7502 Ac
0.2500 0.2103 0.2498 Ac
0.7500 0.0456 0.6974 Ru
0.2500 0.9544 0.3026 Ru
0.7500 0.4359 0.8351 Rh
0.2500 0.5641 0.1649 Rh
0.7500 0.7062 0.4983 Rh
0.2500 0.2938 0.5017 Rh
0.7500 0.1618 0.0827 Rh
0.2500 0.8382 0.9173 Rh
```

- Formation energy: -0.4739 eV/atom
- Total moment: 0.00 μB per formula unit
- Total DFT energy (no corrections): -60.72 eV per formula unit


(2)
A relaxed structure of Ac6Ru2Rh. Source: Alexandria, functional PBE.

Structure (POSCAR):
```
Ac6Ru2Rh
1.0
4.3507 0.0000 0.0000
-2.1753 7.5786 1.4549
0.0000 -0.5228 9.9125
Ac Ru Rh
6 2 1
direct
0.9521 0.9042 0.8025 Ac
0.7765 0.5531 0.1599 Ac
0.2235 0.4469 0.8401 Ac
0.6342 0.2683 0.5252 Ac
0.3658 0.7317 0.4748 Ac
0.0479 0.0958 0.1975 Ac
0.8050 0.6101 0.6751 Ru
0.1950 0.3899 0.3249 Ru
0.0000 0.0000 0.5000 Rh
```

- Formation energy: -0.2181 eV/atom
- Total moment: 0.00 μB per formula unit
- Total DFT energy (no corrections): -52.52 eV per formula unit


(3)
A relaxed structure of Ac5RuRh. Source: Alexandria, functional PBE.

Structure (POSCAR):
```
Ac5RuRh
1.0
6.8243 0.9868 -2.0164
-0.2320 6.8914 -2.0164
0.0187 0.0224 11.2920
Ac Ru Rh
10 2 2
direct
0.7703 0.9373 0.1484 Ac
0.8669 0.2702 0.4920 Ac
0.4373 0.2703 0.6484 Ac
0.2503 0.2497 0.2500 Ac
0.2298 0.6331 0.0080 Ac
0.7702 0.3669 0.9920 Ac
0.7497 0.7503 0.7500 Ac
0.5627 0.7297 0.3516 Ac
0.1331 0.7298 0.5080 Ac
0.2297 0.0627 0.8516 Ac
0.0000 0.0000 0.0000 Ru
0.5000 0.5000 0.5000 Ru
0.9255 0.5745 0.2500 Rh
0.0745 0.4255 0.7500 Rh
```

- Formation energy: -0.1952 eV/atom
- Total moment: 0.00 μB per formula unit
- Total DFT energy (no corrections): -38.54 eV per formula unit


(4)
A relaxed structure of Ac6RuRh. Source: Alexandria, functional PBE.

Structure (POSCAR):
```
Ac6RuRh
1.0
-2.4506 3.3058 6.0690
-3.9811 -4.8273 3.8284
3.1624 -4.2290 4.9837
Ac Ru Rh
6 1 1
direct
0.7486 0.4190 0.6767 Ac
0.7486 0.0956 0.3233 Ac
0.2514 0.9044 0.6767 Ac
0.2514 0.5810 0.3233 Ac
0.7454 0.7527 0.0000 Ac
0.2546 0.2473 0.0000 Ac
0.5000 0.5000 0.0000 Ru
0.0000 0.0000 0.0000 Rh
```

- Formation energy: -0.2711 eV/atom
- Total moment: 0.00 μB per formula unit
- Total DFT energy (no corrections): -43.45 eV per formula unit